Below is a relaxed AcAl11Pd crystal, with properties calculated at the PBE level.

Output
VASP energy (eV per atom): -4.13
Magnetization (μB per formula unit): 0.000
DFT formation energy (eV/atom): -0.25

POSCAR file:
```
AcAl11Pd
1.0
2.625 -6.394 0.000
2.625 6.394 0.000
-2.559 0.000 7.086
Ac Al Pd
1 11 1
Cartesian
0.000 0.000 0.000
-1.279 0.000 3.543
2.636 -4.125 2.547
1.313 3.197 0.000
0.056 4.125 4.539
0.074 1.438 5.413
2.636 4.125 2.547
0.074 -1.438 5.413
1.313 -3.197 0.000
2.618 1.438 1.673
0.056 -4.125 4.539
2.618 -1.438 1.673
1.346 0.000 3.543
```

Below is a relaxed Ac3Al8Pd3 crystal, with properties calculated at the PBE level.

Output
VASP energy (eV per atom): -4.70
Magnetization (μB per formula unit): 0.000
DFT formation energy (eV/atom): -0.57

POSCAR file:
```
Ac3Al8Pd3
1.0
8.301 -2.334 0.000
8.301 2.334 0.000
-5.058 0.000 7.724
Ac Al Pd
3 8 3
Cartesian
0.000 0.000 0.000
3.226 0.000 2.285
8.318 0.000 5.438
0.024 0.000 3.261
-1.955 0.000 6.578
2.198 0.000 5.509
6.553 0.000 2.507
4.991 0.000 5.216
9.346 0.000 2.215
13.499 0.000 1.146
11.520 0.000 4.463
-2.529 0.000 3.862
5.755 0.000 0.015
5.788 0.000 7.708
```

Below is a relaxed Ac2AlPd3 crystal, with properties calculated at the PBE level.

Output
VASP energy (eV per atom): -5.37
Magnetization (μB per formula unit): 0.000
DFT formation energy (eV/atom): -0.78

POSCAR file:
```
Ac2AlPd3
1.0
0.000 4.601 7.812
4.172 0.000 7.812
4.172 4.601 0.000
Ac Al Pd
4 2 6
Cartesian
6.314 4.601 7.812
2.086 2.300 3.906
6.258 6.901 11.718
2.030 4.601 7.812
4.172 4.601 5.205
4.172 4.601 10.419
4.172 4.601 2.719
4.172 2.459 6.436
4.172 2.459 9.188
4.172 6.743 6.436
4.172 6.743 9.188
4.172 4.601 12.904
```

Below is a relaxed AcAl6Pd2 crystal, with properties calculated at the PBE level.

Output
VASP energy (eV per atom): -4.17
Magnetization (μB per formula unit): 0.000
DFT formation energy (eV/atom): -0.06

POSCAR file:
```
AcAl6Pd2
1.0
0.000 6.000 6.000
6.000 0.000 6.000
6.000 6.000 0.000
Ac Al Pd
2 12 4
Cartesian
1.500 1.500 1.500
10.499 10.499 10.499
4.500 4.500 1.758
4.500 1.758 4.500
7.241 4.500 4.500
7.500 7.500 4.758
7.500 4.758 7.500
10.241 7.500 7.500
1.758 4.500 4.500
4.500 7.241 4.500
4.500 4.500 7.241
4.758 7.500 7.500
7.500 10.241 7.500
7.500 7.500 10.241
6.000 3.000 3.000
3.000 6.000 3.000
3.000 3.000 6.000
6.000 6.000 6.000
```

Below is a relaxed AcAl6Pd2 crystal, with properties calculated at the PBE level.

Output
VASP energy (eV per atom): -4.57
Magnetization (μB per formula unit): 0.000
DFT formation energy (eV/atom): -0.46

POSCAR file:
```
AcAl6Pd2
1.0
-2.125 4.562 4.570
2.125 -4.562 4.570
2.125 4.562 -4.570
Ac Al Pd
1 6 2
Cartesian
0.000 0.000 0.000
2.125 -1.461 2.641
2.125 2.542 0.000
2.125 1.461 2.641
0.000 3.101 1.929
0.000 2.020 4.570
0.000 6.023 1.929
0.000 0.000 3.081
0.000 0.000 6.060
```

Below is a relaxed Ac3Al2Pd4 crystal, with properties calculated at the PBE level.

Output
VASP energy (eV per atom): -5.31
Magnetization (μB per formula unit): 0.000
DFT formation energy (eV/atom): -0.80

POSCAR file:
```
Ac3Al2Pd4
1.0
5.911 -2.222 0.000
5.911 2.222 0.000
-3.540 0.000 8.356
Ac Al Pd
3 2 4
Cartesian
0.000 0.000 0.000
3.320 0.000 2.507
4.961 0.000 5.848
1.536 0.000 5.446
6.745 0.000 2.909
-0.313 0.000 3.494
0.174 0.000 7.695
8.108 0.000 0.661
8.594 0.000 4.862
```

Below is a relaxed AcAl7Pd5 crystal, with properties calculated at the PBE level.

Output
VASP energy (eV per atom): -5.02
Magnetization (μB per formula unit): 0.000
DFT formation energy (eV/atom): -0.69

POSCAR file:
```
AcAl7Pd5
1.0
-2.723 4.635 4.449
2.723 -4.635 4.449
2.723 4.635 -4.449
Ac Al Pd
1 7 5
Cartesian
0.000 0.000 0.000
2.723 2.034 -0.010
2.723 -1.362 4.199
0.000 0.000 3.091
2.723 1.362 4.199
0.000 0.000 5.679
0.000 4.635 2.246
0.000 2.601 4.439
2.723 0.000 1.926
1.352 2.482 2.153
1.371 -2.154 6.602
1.352 6.789 2.153
1.371 2.154 6.602
```

Below is a relaxed Ac3Al8Pd3 crystal, with properties calculated at the PBE level.

Output
VASP energy (eV per atom): -4.73
Magnetization (μB per formula unit): 0.000
DFT formation energy (eV/atom): -0.59

POSCAR file:
```
Ac3Al8Pd3
1.0
-2.271 5.242 6.379
2.271 -5.242 6.379
2.271 5.242 -6.379
Ac Al Pd
3 8 3
Cartesian
0.000 0.000 0.000
0.000 0.000 4.060
0.000 0.000 8.698
2.271 -1.497 2.164
2.271 -2.297 4.877
2.271 1.497 2.164
0.000 2.946 1.502
2.271 2.297 4.877
0.000 3.745 4.215
0.000 7.539 1.502
0.000 6.739 4.215
2.271 2.886 0.000
0.000 5.242 0.000
0.000 2.356 6.379
```

Below is a relaxed AcAl2Pd5 crystal, with properties calculated at the PBE level.

Output
VASP energy (eV per atom): -5.49
Magnetization (μB per formula unit): 0.000
DFT formation energy (eV/atom): -0.80

POSCAR file:
```
AcAl2Pd5
1.0
-2.013 3.537 5.187
2.013 -3.537 5.187
2.013 3.537 -5.187
Ac Al Pd
1 2 5
Cartesian
0.000 0.000 0.000
2.013 0.000 2.768
0.000 3.537 2.419
2.013 2.139 -1.530
2.013 2.139 1.530
0.000 3.537 0.000
0.000 1.398 3.658
0.000 1.398 6.717
```

Below is a relaxed Ac3Al2Pd7 crystal, with properties calculated at the PBE level.

Output
VASP energy (eV per atom): -5.35
Magnetization (μB per formula unit): 0.000
DFT formation energy (eV/atom): -0.67

POSCAR file:
```
Ac3Al2Pd7
1.0
2.185 -14.885 0.000
2.185 14.885 0.000
0.000 0.000 4.230
Ac Al Pd
3 2 7
Cartesian
0.000 0.000 0.000
2.185 8.991 0.000
2.185 -8.991 0.000
2.185 2.450 2.115
2.185 -2.450 2.115
2.185 11.259 2.115
2.185 5.769 2.115
2.185 3.694 0.000
2.185 0.000 2.115
2.185 -3.694 0.000
2.185 -5.769 2.115
2.185 -11.259 2.115
```

Below is a relaxed Ac2Al12Pd7 crystal, with properties calculated at the PBE level.

Output
VASP energy (eV per atom): -5.01
Magnetization (μB per formula unit): 0.000
DFT formation energy (eV/atom): -0.75

POSCAR file:
```
Ac2Al12Pd7
1.0
10.077 0.000 0.000
-5.039 8.727 0.000
0.000 0.000 4.284
Ac Al Pd
2 12 7
Cartesian
0.000 0.000 0.000
0.000 5.818 2.142
-1.267 2.451 2.142
-2.363 6.643 0.000
0.467 3.359 0.000
-2.282 8.599 2.142
2.774 1.819 0.000
3.406 3.639 2.142
5.222 1.130 2.142
1.896 7.452 0.000
3.549 6.404 2.142
7.115 1.492 0.000
5.227 5.415 0.000
6.487 3.958 2.142
-2.101 3.941 0.000
1.300 2.138 2.142
-0.575 8.576 0.000
2.676 4.936 0.000
5.039 2.909 0.000
7.575 0.057 2.142
6.240 6.532 2.142
```

Below is a relaxed AcAl3Pd2 crystal, with properties calculated at the PBE level.

Output
VASP energy (eV per atom): -5.06
Magnetization (μB per formula unit): 0.000
DFT formation energy (eV/atom): -0.78

POSCAR file:
```
AcAl3Pd2
1.0
5.256 -4.112 0.000
5.256 4.112 0.000
0.000 0.000 5.536
Ac Al Pd
2 6 4
Cartesian
5.256 2.810 4.152
5.256 -2.810 1.384
3.243 2.292 1.384
7.268 2.292 1.384
5.256 0.543 1.384
5.256 -0.543 4.152
3.243 -2.292 4.152
7.268 -2.292 4.152
3.124 0.000 0.000
3.124 0.000 2.768
7.387 0.000 0.000
7.387 0.000 2.768
```

Below is a relaxed Ac3AlPd2 crystal, with properties calculated at the PBE level.

Output
VASP energy (eV per atom): -4.93
Magnetization (μB per formula unit): 0.000
DFT formation energy (eV/atom): -0.52

POSCAR file:
```
Ac3AlPd2
1.0
4.241 2.448 6.158
-4.241 2.448 6.158
0.000 -4.897 6.158
Ac Al Pd
6 2 4
Cartesian
-3.011 -0.318 7.698
-1.230 -2.767 10.777
1.781 -2.448 7.698
-1.781 2.448 10.777
1.230 2.767 7.698
3.011 0.318 10.777
0.000 0.000 0.000
0.000 0.000 9.238
0.000 0.000 2.542
0.000 0.000 6.695
0.000 0.000 11.780
0.000 0.000 15.933
```

Below is a relaxed Ac3Al2Pd7 crystal, with properties calculated at the PBE level.

Output
VASP energy (eV per atom): -5.47
Magnetization (μB per formula unit): 0.000
DFT formation energy (eV/atom): -0.79

POSCAR file:
```
Ac3Al2Pd7
1.0
4.366 0.000 0.000
0.000 4.279 0.000
-2.173 0.000 13.879
Ac Al Pd
3 2 7
Cartesian
0.000 0.000 0.000
0.004 2.139 8.833
2.190 2.139 5.046
0.003 0.000 3.569
2.191 0.000 10.310
0.009 2.139 2.274
0.006 0.000 6.081
0.006 0.000 11.599
2.183 2.139 0.000
2.187 0.000 2.281
2.188 0.000 7.799
2.184 2.139 11.605
```

Below is a relaxed Ac3Al7Pd2 crystal, with properties calculated at the PBE level.

Output
VASP energy (eV per atom): -4.66
Magnetization (μB per formula unit): 0.000
DFT formation energy (eV/atom): -0.58

POSCAR file:
```
Ac3Al7Pd2
1.0
2.907 1.678 9.027
-2.907 1.678 9.027
0.000 -3.356 9.027
Ac Al Pd
3 7 2
Cartesian
0.000 0.000 0.000
0.000 0.000 3.904
0.000 0.000 23.178
-1.489 -0.860 11.093
0.000 -1.719 15.988
-1.489 0.860 15.988
0.000 0.000 13.541
1.489 -0.860 11.093
0.000 1.719 11.093
1.489 0.860 15.988
0.000 0.000 9.130
0.000 0.000 17.951
```

Below is a relaxed AcAlPd3 crystal, with properties calculated at the PBE level.

Output
VASP energy (eV per atom): -5.32
Magnetization (μB per formula unit): 0.000
DFT formation energy (eV/atom): -0.63

POSCAR file:
```
AcAlPd3
1.0
4.779 0.000 0.000
0.000 4.779 0.000
0.000 0.000 4.779
Ac Al Pd
1 1 3
Cartesian
0.000 0.000 0.000
2.389 2.389 2.389
0.000 2.389 2.389
2.389 0.000 2.389
2.389 2.389 0.000
```

Below is a relaxed Ac3Al4Pd4 crystal, with properties calculated at the PBE level.

Output
VASP energy (eV per atom): -5.16
Magnetization (μB per formula unit): 0.000
DFT formation energy (eV/atom): -0.79

POSCAR file:
```
Ac3Al4Pd4
1.0
-2.190 3.781 7.387
2.190 -3.781 7.387
2.190 3.781 -7.387
Ac Al Pd
3 4 4
Cartesian
0.000 0.000 0.000
2.190 0.000 5.604
0.000 3.781 1.783
2.190 1.434 -2.661
2.190 1.434 2.661
0.000 2.346 4.727
0.000 2.346 10.048
0.000 0.000 3.226
2.190 2.153 0.000
0.000 1.628 7.387
0.000 0.000 11.549
```

Below is a relaxed AcAl8Pd4 crystal, with properties calculated at the PBE level.

Output
VASP energy (eV per atom): -4.89
Magnetization (μB per formula unit): 0.000
DFT formation energy (eV/atom): -0.67

POSCAR file:
```
AcAl8Pd4
1.0
-4.522 4.522 2.733
4.522 -4.522 2.733
4.522 4.522 -2.733
Ac Al Pd
1 8 4
Cartesian
0.000 0.000 0.000
3.189 0.000 0.000
5.854 0.000 0.000
4.522 2.469 0.000
0.000 3.189 0.000
2.469 4.522 0.000
2.052 0.000 2.733
0.000 5.854 0.000
0.000 2.052 2.733
2.261 2.261 -1.367
2.261 -2.261 1.367
-2.261 2.261 1.367
2.261 2.261 1.367
```

Below is a relaxed Ac4AlPd3 crystal, with properties calculated at the PBE level.

Output
VASP energy (eV per atom): -5.12
Magnetization (μB per formula unit): 0.000
DFT formation energy (eV/atom): -0.65

POSCAR file:
```
Ac4AlPd3
1.0
4.253 0.000 0.000
0.000 4.650 0.000
0.000 0.000 11.942
Ac Al Pd
4 1 3
Cartesian
0.000 0.000 0.000
0.000 2.325 3.135
2.126 0.000 5.808
2.126 2.325 9.261
0.000 0.000 8.314
0.000 2.325 6.738
2.126 0.000 2.585
2.126 2.325 0.623
```

Below is a relaxed AcAl2Pd2 crystal, with properties calculated at the PBE level.

Output
VASP energy (eV per atom): -5.18
Magnetization (μB per formula unit): 0.000
DFT formation energy (eV/atom): -0.79

POSCAR file:
```
AcAl2Pd2
1.0
3.460 -3.173 0.000
3.460 3.173 0.000
0.000 0.000 9.748
Ac Al Pd
2 4 4
Cartesian
3.460 1.751 7.311
3.460 -1.751 2.437
3.460 1.292 0.996
3.460 1.292 3.878
3.460 -1.292 5.870
3.460 -1.292 8.752
1.457 0.000 0.000
1.457 0.000 4.874
5.463 0.000 0.000
5.463 0.000 4.874
```